No. 1
Entry from Alexandria via LeMat-Bulk: a relaxed LiIrRh2 crystal (PBE).

Summary:
formation enthalpy at 0 K	0.090	eV per atom
energy above the lowest structure with this stoichiometry	212	meV/atom
symmetry	Fm-3m

abc: 4.289 4.289 4.289
angles: 60.00 60.00 60.00
Site moments in Bohr magnetons follow the coordinates.
Positions (direct):
Rh 0.250 0.250 0.250  0.53
Rh 0.750 0.750 0.750  0.53
Ir 0.500 0.500 0.500  0.59
Li 0.000 0.000 0.000  0.00

No. 2
Entry from Alexandria via LeMat-Bulk: a relaxed CaTlAgN crystal (PBE).

Summary:
formation energy without anion corrections	-1.03	kJ/mol of atoms
energy above the lowest structure with this stoichiometry	162	meV/atom
symmetry	Cm

abc: 3.584 4.310 6.204
angles: 110.26 106.81 89.99
Positions (direct):
N 0.694 0.419 0.155
Ag 0.652 0.877 0.071
Tl 0.022 0.248 0.812
Ca 0.324 0.548 0.415

Question: Which of these has the lowest energy above the lowest structure with this stoichiometry?
Answer: CaTlAgN

Question: Which formula does entry 1 have?
Answer: LiIrRh2

Please write out number 1 again, unchanged.
Entry from Alexandria via LeMat-Bulk: a relaxed LiIrRh2 crystal (PBE).

Summary:
formation enthalpy at 0 K	0.090	eV per atom
energy above the lowest structure with this stoichiometry	212	meV/atom
symmetry	Fm-3m

abc: 4.289 4.289 4.289
angles: 60.00 60.00 60.00
Site moments in Bohr magnetons follow the coordinates.
Positions (direct):
Rh 0.250 0.250 0.250  0.53
Rh 0.750 0.750 0.750  0.53
Ir 0.500 0.500 0.500  0.59
Li 0.000 0.000 0.000  0.00